# Na3InPt | Alexandria via LeMat-Bulk | GGA-PBE | relaxed
data_Na3InPt
_symmetry_space_group_name_H-M 'P m -3 m'
_symmetry_Int_Tables_number 221
_symmetry_space_group_name_Hall '-P 4 2 3'
_cell_length_a 5.4284
_cell_length_b 5.4284
_cell_length_c 5.4284
_cell_angle_alpha 90.00
_cell_angle_beta 90.00
_cell_angle_gamma 90.00
loop_
_atom_site_label
_atom_site_type_symbol
_atom_site_fract_x
_atom_site_fract_y
_atom_site_fract_z
Na1 Na 0.0000 0.0000 0.5000
In1 In 0.5000 0.5000 0.5000
Pt1 Pt 0.0000 0.0000 0.0000
# Total magnetization (μB per cell): 0.00
# E_tot (eV for the cell shown): -11.89
# Energy of formation from the pure elements (meV per atom): 169
# Theoretical density (Mg/m³): 3.9

# Na4In3Pt2 | Alexandria via LeMat-Bulk | GGA-PBE | relaxed
data_Na4In3Pt2
_symmetry_space_group_name_H-M 'C 1 2/m 1'
_symmetry_Int_Tables_number 12
_cell_length_a 16.0462
_cell_length_b 4.0046
_cell_length_c 7.9845
_cell_angle_alpha 90.00
_cell_angle_beta 113.37
_cell_angle_gamma 90.00
loop_
_symmetry_equiv_pos_as_xyz
'x,y,z'
'-x,-y,-z'
'-x,y,-z'
'x,-y,z'
'x+1/2,y+1/2,z'
'-x+1/2,-y+1/2,-z'
'-x+1/2,y+1/2,-z'
'x+1/2,-y+1/2,z'
loop_
_atom_site_label
_atom_site_type_symbol
_atom_site_fract_x
_atom_site_fract_y
_atom_site_fract_z
Na1 Na 0.1069 0.0000 0.3601
Na2 Na 0.2315 0.5000 0.1471
In1 In 0.0000 0.5000 0.0000
In2 In 0.0857 0.5000 0.6761
Pt1 Pt 0.0888 0.0000 0.9105
# Total magnetization (μB per cell): 0.00
# E_tot (eV for the cell shown): -56.20
# Energy of formation from the pure elements (meV per atom): -281
# Theoretical density (Mg/m³): 5.8

# Na6InPt2 | Alexandria via LeMat-Bulk | GGA-PBE | relaxed
data_Na6InPt2
_symmetry_space_group_name_H-M 'R -3 m'
_symmetry_Int_Tables_number 166
_symmetry_space_group_name_Hall '-R 3 2"'
_cell_length_a 5.0988
_cell_length_b 5.0988
_cell_length_c 30.1407
_cell_angle_alpha 90.00
_cell_angle_beta 90.00
_cell_angle_gamma 120.00
loop_
_atom_site_label
_atom_site_type_symbol
_atom_site_fract_x
_atom_site_fract_y
_atom_site_fract_z
Na1 Na 0.0000 0.0000 0.0752
Na2 Na 0.0000 0.0000 0.2108
Na3 Na 0.0000 0.0000 0.3120
In1 In 0.0000 0.0000 0.5000
Pt1 Pt 0.0000 0.0000 0.4125
# Total magnetization (μB per cell): 0.00
# E_tot (eV for the cell shown): -72.40
# Energy of formation from the pure elements (meV per atom): -156
# Theoretical density (Mg/m³): 4.7

# Na4InPt | Alexandria via LeMat-Bulk | GGA-PBE | relaxed
data_Na4InPt
_symmetry_space_group_name_H-M 'C 1 2/m 1'
_symmetry_Int_Tables_number 12
_cell_length_a 5.2901
_cell_length_b 9.9652
_cell_length_c 12.0810
_cell_angle_alpha 90.00
_cell_angle_beta 102.60
_cell_angle_gamma 90.00
loop_
_symmetry_equiv_pos_as_xyz
'x,y,z'
'-x,-y,-z'
'-x,y,-z'
'x,-y,z'
'x+1/2,y+1/2,z'
'-x+1/2,-y+1/2,-z'
'-x+1/2,y+1/2,-z'
'x+1/2,-y+1/2,z'
loop_
_atom_site_label
_atom_site_type_symbol
_atom_site_fract_x
_atom_site_fract_y
_atom_site_fract_z
Na1 Na 0.0000 0.1624 0.0000
Na2 Na 0.1413 0.1658 0.2839
Na3 Na 0.2081 0.5000 0.4164
In1 In 0.0653 0.5000 0.1287
Pt1 Pt 0.0000 0.2502 0.5000
# Total magnetization (μB per cell): 0.00
# E_tot (eV for the cell shown): -59.57
# Energy of formation from the pure elements (meV per atom): -140
# Theoretical density (Mg/m³): 4.3

# NaIn5Pt3 | Alexandria via LeMat-Bulk | GGA-PBE | relaxed
data_NaIn5Pt3
_symmetry_space_group_name_H-M 'C 1 2/m 1'
_symmetry_Int_Tables_number 12
_cell_length_a 12.4210
_cell_length_b 8.8554
_cell_length_c 9.7323
_cell_angle_alpha 90.00
_cell_angle_beta 115.66
_cell_angle_gamma 90.00
loop_
_symmetry_equiv_pos_as_xyz
'x,y,z'
'-x,-y,-z'
'-x,y,-z'
'x,-y,z'
'x+1/2,y+1/2,z'
'-x+1/2,-y+1/2,-z'
'-x+1/2,y+1/2,-z'
'x+1/2,-y+1/2,z'
loop_
_atom_site_label
_atom_site_type_symbol
_atom_site_fract_x
_atom_site_fract_y
_atom_site_fract_z
Na1 Na 0.1296 0.0000 0.3224
In1 In 0.0000 0.2984 0.0000
In2 In 0.0990 0.5000 0.3638
In3 In 0.1507 0.2036 0.6914
In4 In 0.2290 0.0000 0.0495
Pt1 Pt 0.0000 0.0000 0.0000
Pt2 Pt 0.0000 0.0000 0.5000
Pt3 Pt 0.1212 0.5000 0.6503
Pt4 Pt 0.1769 0.5000 0.1518
# Total magnetization (μB per cell): 0.00
# E_tot (eV for the cell shown): -142.77
# Energy of formation from the pure elements (meV per atom): -284
# Theoretical density (Mg/m³): 8.1

# NaIn6Pt6 | Alexandria via LeMat-Bulk | GGA-PBE | relaxed
data_NaIn6Pt6
_symmetry_space_group_name_H-M 'I m m m'
_symmetry_Int_Tables_number 71
_symmetry_space_group_name_Hall '-I 2 2'
_cell_length_a 5.6167
_cell_length_b 9.2662
_cell_length_c 9.7543
_cell_angle_alpha 90.00
_cell_angle_beta 90.00
_cell_angle_gamma 90.00
loop_
_atom_site_label
_atom_site_type_symbol
_atom_site_fract_x
_atom_site_fract_y
_atom_site_fract_z
Na1 Na 0.0000 0.0000 0.0000
In1 In 0.0000 0.0000 0.3361
In2 In 0.0000 0.3272 0.0000
In3 In 0.0000 0.5000 0.3302
Pt1 Pt 0.0000 0.2556 0.5000
Pt2 Pt 0.2500 0.2500 0.2500
# Total magnetization (μB per cell): 0.00
# E_tot (eV for the cell shown): -120.37
# Energy of formation from the pure elements (meV per atom): -476
# Theoretical density (Mg/m³): 12.3